# Li2CrSe2O6 | Alexandria | PBE with a Hubbard U | relaxed
data_Li2CrSe2O6
_symmetry_space_group_name_H-M 'P -3'
_symmetry_Int_Tables_number 147
_symmetry_space_group_name_Hall '-P 3'
_cell_length_a 5.2107
_cell_length_b 5.2107
_cell_length_c 6.8053
_cell_angle_alpha 90.00
_cell_angle_beta 90.00
_cell_angle_gamma 120.00
loop_
_atom_site_label
_atom_site_fract_x
_atom_site_fract_y
_atom_site_fract_z
_atom_site_occupancy
Li1 0.3333 0.6667 0.1272 1
Cr1 0.0000 0.0000 0.0000 1
Se1 0.3333 0.6667 0.7021 1
O1 0.0451 0.6848 0.8168 1
# - theoretical density (g cm⁻³) = 3.32
# - total DFT energy (no corrections) (eV per cell) = -62.66
# - DOS at the Fermi energy (states/eV/cell) = 3.85